1.
A plane-wave DFT calculation with PBE-GGA was carried out for Ag2TeHS4 after structural relaxation.

Properties
DOS(E_F) ... 6.94 states/eV/cell
DFT total energy ... -3.425 eV/atom
Magnetization ... 0.0000 μB/atom
Volume ... 313 Å³/cell

a = 7.4937 Å, b = 7.4937 Å, c = 7.6333 Å
α = 120.51°, β = 120.51°, γ = 83.15°
Element x y z (fractional)
1 Ag 0.0000 0.0000 0.0000
2 Ag 0.0000 0.0000 0.5000
3 Ag 0.0000 0.5000 0.0000
4 Ag 0.5000 0.0000 0.5000
5 Te 0.0000 0.5000 0.5000
6 Te 0.5000 0.0000 0.0000
7 H 0.5000 0.5000 0.0000
8 H 0.5000 0.5000 0.5000
9 S 0.1844 0.2005 0.9412
10 S 0.2005 0.1844 0.4412
11 S 0.3222 0.6663 0.9837
12 S 0.3337 0.6778 0.5163
13 S 0.6663 0.3222 0.4837
14 S 0.6778 0.3337 0.0163
15 S 0.7995 0.8156 0.5588
16 S 0.8156 0.7995 0.0588


2.
A plane-wave DFT calculation with PBE-GGA was carried out for CsNdReN3 after structural relaxation.

Properties
DOS(E_F) ... 3.88 states/eV/cell
ΔE_f (raw) ... -460 meV/atom
Magnetization ... 0.0000 μB/atom
Volume ... 230 Å³/cell

a = 7.2215 Å, b = 7.2215 Å, c = 8.6537 Å
α = 103.54°, β = 103.54°, γ = 31.71°
Element x y z (fractional)
1 Cs 0.1404 0.1404 0.0716
2 Cs 0.8596 0.8596 0.9284
3 Nd 0.1615 0.1615 0.5777
4 Nd 0.8385 0.8385 0.4223
5 Re 0.4934 0.4934 0.6521
6 Re 0.5066 0.5066 0.3479
7 N 0.0124 0.0124 0.3464
8 N 0.3437 0.3437 0.6148
9 N 0.3746 0.3746 0.2313
10 N 0.6254 0.6254 0.7687
11 N 0.6563 0.6563 0.3852
12 N 0.9876 0.9876 0.6536


3.
A plane-wave DFT calculation with PBE-GGA was carried out for CaPr2Sm3Te6 after structural relaxation.

Properties
DOS(E_F) ... 6.08 states/eV/cell
ΔE_f (raw) ... -1445 meV/atom
Magnetization ... 0.0000 μB/atom
Volume ... 383 Å³/cell

a = 10.0348 Å, b = 10.0348 Å, c = 9.0029 Å
α = 103.01°, β = 103.01°, γ = 25.71°
Element x y z (fractional)
1 Ca 0.0000 0.0000 0.0000
2 Pr 0.3282 0.3282 0.6584
3 Pr 0.6718 0.6718 0.3416
4 Sm 0.0000 0.0000 0.5000
5 Sm 0.3299 0.3299 0.1707
6 Sm 0.6701 0.6701 0.8293
7 Te 0.1624 0.1624 0.5862
8 Te 0.1644 0.1644 0.0769
9 Te 0.4991 0.4991 0.2476
10 Te 0.5009 0.5009 0.7524
11 Te 0.8356 0.8356 0.9231
12 Te 0.8376 0.8376 0.4138


4.
A plane-wave DFT calculation with PBE-GGA was carried out for SrSmGaSn after structural relaxation.

Properties
DOS(E_F) ... 2.66 states/eV/cell
ΔE_f ... -0.471 eV/atom
Magnetization ... 0.0000 μB/atom
Volume ... 115 Å³/cell

a = 5.4589 Å, b = 5.4589 Å, c = 5.4589 Å
α = 60.00°, β = 60.00°, γ = 60.00°
Element x y z (fractional)
1 Sr 0.0000 0.0000 0.0000
2 Sm 0.5000 0.5000 0.5000
3 Ga 0.2500 0.2500 0.2500
4 Sn 0.7500 0.7500 0.7500